Here is K2SiNiP after structural relaxation from Alexandria via LeMat-Bulk. Energies are from PBE.

Results
formation energy (no corrections) = 0.36 eV per atom
D(E_F) = 2.2 states/eV per cell
total magnetic moment = 1.76 Bohr magnetons per cell

```
data_K2SiNiP
_cell_length_a 6.238
_cell_length_b 6.238
_cell_length_c 4.088
_cell_angle_alpha 90.00
_cell_angle_beta 90.00
_cell_angle_gamma 90.00
_symmetry_space_group_name_H-M 'P 4/m m m'
_symmetry_Int_Tables_number 123
_symmetry_space_group_name_Hall '-P 4 2'
loop_
_atom_site_label
_atom_site_type_symbol
_atom_site_fract_x
_atom_site_fract_y
_atom_site_fract_z
K1 K 0.000 0.500 0.000
Si1 Si 0.000 0.000 0.500
Ni1 Ni 0.500 0.500 0.000
P1 P 0.500 0.500 0.500
```

Here is MgCdIn2Cl6 after structural relaxation from Alexandria via LeMat-Bulk. Energies are from PBE.

Results
formation energy (no corrections) = -1.17 eV per atom
D(E_F) = 0.0 states/eV per cell
total magnetic moment = 0.00 Bohr magnetons per cell

```
data_MgCdIn2Cl6
_cell_length_a 6.920
_cell_length_b 6.920
_cell_length_c 6.125
_cell_angle_alpha 90.00
_cell_angle_beta 90.00
_cell_angle_gamma 90.00
_symmetry_space_group_name_H-M 'P 4 m m'
_symmetry_Int_Tables_number 99
loop_
_symmetry_equiv_pos_as_xyz
'x,y,z'
'-y,x,z'
'-x,-y,z'
'y,-x,z'
'-x,y,z'
'y,x,z'
'x,-y,z'
'-y,-x,z'
loop_
_atom_site_label
_atom_site_type_symbol
_atom_site_fract_x
_atom_site_fract_y
_atom_site_fract_z
Mg1 Mg 0.000 0.000 0.000
Cd1 Cd 0.500 0.500 0.986
In1 In 0.000 0.500 0.461
Cl1 Cl 0.000 0.000 0.619
Cl2 Cl 0.244 0.244 0.123
Cl3 Cl 0.500 0.500 0.584
```

Q: Which value of total magnetic moment does entry 2 give?
A: 0.00 Bohr magnetons per cell